Run one
HfTcNiAs | GGA-PBE | relaxed

Results
Its crystal system is cubic. The calculation puts the total moment at 0.253 μB per formula unit. Its volume is 61 Å³ per cell.

```
data_HfTcNiAs
_cell_length_a 4.4113
_cell_length_b 4.4113
_cell_length_c 4.4113
_cell_angle_alpha 60.00
_cell_angle_beta 60.00
_cell_angle_gamma 60.00
_symmetry_space_group_name_H-M 'P 1'
_symmetry_Int_Tables_number 1
loop_
_symmetry_equiv_pos_as_xyz
'x,y,z'
loop_
_atom_site_label
_atom_site_fract_x
_atom_site_fract_y
_atom_site_fract_z
Ni1 0.7500 0.7500 0.7500
Hf1 0.5000 0.5000 0.5000
Tc1 0.2500 0.2500 0.2500
As1 0.0000 0.0000 0.0000
```

=====

Run two
HfTcNiAs | GGA-PBE | relaxed

Results
Its crystal system is cubic. The calculation puts the total moment at 0.073 μB per formula unit. Its volume is 63 Å³ per cell.

```
data_HfTcNiAs
_cell_length_a 4.4640
_cell_length_b 4.4640
_cell_length_c 4.4640
_cell_angle_alpha 60.00
_cell_angle_beta 60.00
_cell_angle_gamma 60.00
_symmetry_space_group_name_H-M 'P 1'
_symmetry_Int_Tables_number 1
loop_
_symmetry_equiv_pos_as_xyz
'x,y,z'
loop_
_atom_site_label
_atom_site_fract_x
_atom_site_fract_y
_atom_site_fract_z
Ni1 0.7500 0.7500 0.7500
Tc1 0.5000 0.5000 0.5000
As1 0.0000 0.0000 0.0000
Hf1 0.2500 0.2500 0.2500
```

=====

Stability check: which of them is least stable? run two.

=====

Run one
Hf2As2O5 | GGA-PBE | relaxed

Results
Its crystal system is tetragonal. The calculation puts the total moment at 0.000 μB per formula unit. Its volume is 118 Å³ per cell.

```
data_Hf2As2O5
_cell_length_a 8.5467
_cell_length_b 3.7180
_cell_length_c 3.7180
_cell_angle_alpha 90.00
_cell_angle_beta 90.00
_cell_angle_gamma 90.00
_symmetry_space_group_name_H-M 'P 1'
_symmetry_Int_Tables_number 1
loop_
_symmetry_equiv_pos_as_xyz
'x,y,z'
loop_
_atom_site_label
_atom_site_fract_x
_atom_site_fract_y
_atom_site_fract_z
O1 0.8432 0.0000 0.5000
O2 0.8432 0.5000 0.0000
As1 0.5000 0.0000 0.0000
O3 0.5000 0.5000 0.5000
O4 0.1568 0.0000 0.5000
Hf1 0.2683 0.5000 0.5000
O5 0.1568 0.5000 0.0000
As2 0.0000 0.0000 0.0000
Hf2 0.7317 0.5000 0.5000
```

=====

Run two
Hf2As2O5 | GGA-PBE | relaxed

Results
Its crystal system is tetragonal. The calculation puts the total moment at 0.023 μB per formula unit. Its volume is 105 Å³ per cell.

```
data_Hf2As2O5
_cell_length_a 6.2390
_cell_length_b 4.0951
_cell_length_c 4.0951
_cell_angle_alpha 90.00
_cell_angle_beta 90.00
_cell_angle_gamma 90.00
_symmetry_space_group_name_H-M 'P 1'
_symmetry_Int_Tables_number 1
loop_
_symmetry_equiv_pos_as_xyz
'x,y,z'
loop_
_atom_site_label
_atom_site_fract_x
_atom_site_fract_y
_atom_site_fract_z
O1 0.2573 0.5000 0.0000
Hf1 0.0000 0.0000 0.0000
As1 0.7975 0.5000 0.5000
O2 0.7427 0.5000 0.0000
O3 0.7427 0.0000 0.5000
O4 0.5000 0.5000 0.5000
Hf2 0.5000 0.0000 0.0000
As2 0.2025 0.5000 0.5000
O5 0.2573 0.0000 0.5000
```

=====

Stability check: which of them is least stable? run two.

=====

Run one
HfAsOsO | GGA-PBE | relaxed

Results
Its crystal system is tetragonal. The calculation puts the total moment at 0.003 μB per formula unit. Its volume is 115 Å³ per cell.

```
data_HfAsOsO
_cell_length_a 4.0916
_cell_length_b 4.0916
_cell_length_c 6.8526
_cell_angle_alpha 90.00
_cell_angle_beta 90.00
_cell_angle_gamma 90.00
_symmetry_space_group_name_H-M 'P 1'
_symmetry_Int_Tables_number 1
loop_
_symmetry_equiv_pos_as_xyz
'x,y,z'
loop_
_atom_site_label
_atom_site_fract_x
_atom_site_fract_y
_atom_site_fract_z
Hf1 0.5000 0.5000 0.5000
Hf2 0.0000 0.0000 0.5000
As1 0.5000 0.0000 0.7706
As2 0.0000 0.5000 0.2294
Os1 0.5000 0.0000 0.1526
Os2 0.0000 0.5000 0.8474
O1 0.5000 0.5000 0.0000
O2 0.0000 0.0000 0.0000
```

=====

Run two
HfAsOsO | GGA-PBE | relaxed

Results
Its crystal system is tetragonal. The calculation puts the total moment at 0.004 μB per formula unit. Its volume is 114 Å³ per cell.

```
data_HfAsOsO
_cell_length_a 4.0998
_cell_length_b 4.0998
_cell_length_c 6.7562
_cell_angle_alpha 90.00
_cell_angle_beta 90.00
_cell_angle_gamma 90.00
_symmetry_space_group_name_H-M 'P 1'
_symmetry_Int_Tables_number 1
loop_
_symmetry_equiv_pos_as_xyz
'x,y,z'
loop_
_atom_site_label
_atom_site_fract_x
_atom_site_fract_y
_atom_site_fract_z
O1 0.7500 0.2500 0.0000
Hf1 0.2500 0.2500 0.1336
Os1 0.2500 0.7500 0.5000
Os2 0.7500 0.2500 0.5000
As1 0.2500 0.2500 0.6969
As2 0.7500 0.7500 0.3031
Hf2 0.7500 0.7500 0.8664
O2 0.2500 0.7500 0.0000
```

=====

Run three
HfAsOsO | GGA-PBE | relaxed

Results
Its crystal system is orthorhombic. The calculation puts the total moment at 0.002 μB per formula unit. Its volume is 122 Å³ per cell.

```
data_HfAsOsO
_cell_length_a 4.2013
_cell_length_b 4.7374
_cell_length_c 6.1334
_cell_angle_alpha 90.00
_cell_angle_beta 90.00
_cell_angle_gamma 90.00
_symmetry_space_group_name_H-M 'P 1'
_symmetry_Int_Tables_number 1
loop_
_symmetry_equiv_pos_as_xyz
'x,y,z'
loop_
_atom_site_label
_atom_site_fract_x
_atom_site_fract_y
_atom_site_fract_z
Os1 0.0000 0.8662 0.4443
Os2 0.0000 0.1338 0.9443
Hf1 0.5000 0.2681 0.6043
Hf2 0.5000 0.7319 0.1043
O1 0.5000 0.9190 0.4061
As1 0.0000 0.3689 0.2994
As2 0.0000 0.6311 0.7994
O2 0.5000 0.0810 0.9061
```

=====

Stability check: which of them is least stable? run one.

=====

Run one
HfAsOsO | GGA-PBE | relaxed

Results
Its crystal system is orthorhombic. The calculation puts the total moment at 0.000 μB per formula unit. Its volume is 127 Å³ per cell.

```
data_HfAsOsO
_cell_length_a 4.1629
_cell_length_b 5.5530
_cell_length_c 5.5023
_cell_angle_alpha 90.00
_cell_angle_beta 90.00
_cell_angle_gamma 90.00
_symmetry_space_group_name_H-M 'P 1'
_symmetry_Int_Tables_number 1
loop_
_symmetry_equiv_pos_as_xyz
'x,y,z'
loop_
_atom_site_label
_atom_site_fract_x
_atom_site_fract_y
_atom_site_fract_z
As1 0.0000 0.7646 0.8933
O1 0.5000 0.2905 0.8742
Os1 0.5000 0.9649 0.0940
Os2 0.5000 0.0351 0.5940
O2 0.5000 0.7095 0.3742
Hf1 0.0000 0.7323 0.3925
As2 0.0000 0.2354 0.3933
Hf2 0.0000 0.2677 0.8925
```

=====

Run two
HfAsOsO | GGA-PBE | relaxed

Results
Its crystal system is monoclinic. The calculation puts the total moment at 0.007 μB per formula unit. Its volume is 113 Å³ per cell.

```
data_HfAsOsO
_cell_length_a 4.1027
_cell_length_b 4.1027
_cell_length_c 6.7261
_cell_angle_alpha 90.06
_cell_angle_beta 90.06
_cell_angle_gamma 90.00
_symmetry_space_group_name_H-M 'P 1'
_symmetry_Int_Tables_number 1
loop_
_symmetry_equiv_pos_as_xyz
'x,y,z'
loop_
_atom_site_label
_atom_site_fract_x
_atom_site_fract_y
_atom_site_fract_z
O1 0.7493 0.2507 0.5000
Os1 0.2500 0.7500 0.0000
As1 0.7504 0.7504 0.1977
As2 0.2496 0.2496 0.8023
Hf1 0.2491 0.2491 0.3661
O2 0.2507 0.7493 0.5000
Os2 0.7500 0.2500 0.0000
Hf2 0.7509 0.7509 0.6339
```

=====

Stability check: which of them is least stable? run one.

=====

Run one
HfAsPbO | GGA-PBE | relaxed

Results
Its crystal system is tetragonal. The calculation puts the total moment at 0.011 μB per formula unit. Its volume is 177 Å³ per cell.

```
data_HfAsPbO
_cell_length_a 4.4479
_cell_length_b 4.4479
_cell_length_c 8.9314
_cell_angle_alpha 90.00
_cell_angle_beta 90.00
_cell_angle_gamma 90.00
_symmetry_space_group_name_H-M 'P 1'
_symmetry_Int_Tables_number 1
loop_
_symmetry_equiv_pos_as_xyz
'x,y,z'
loop_
_atom_site_label
_atom_site_fract_x
_atom_site_fract_y
_atom_site_fract_z
O1 0.5000 0.5000 0.0000
Hf1 0.5000 0.5000 0.5000
Hf2 0.0000 0.0000 0.5000
As1 0.5000 0.0000 0.6601
O2 0.0000 0.0000 0.0000
Pb1 0.5000 0.0000 0.1111
Pb2 0.0000 0.5000 0.8889
As2 0.0000 0.5000 0.3399
```

=====

Run two
HfAsPbO | GGA-PBE | relaxed

Results
Its crystal system is orthorhombic. The calculation puts the total moment at 0.001 μB per formula unit. Its volume is 180 Å³ per cell.

```
data_HfAsPbO
_cell_length_a 3.8243
_cell_length_b 8.4916
_cell_length_c 5.5556
_cell_angle_alpha 90.00
_cell_angle_beta 90.00
_cell_angle_gamma 90.00
_symmetry_space_group_name_H-M 'P 1'
_symmetry_Int_Tables_number 1
loop_
_symmetry_equiv_pos_as_xyz
'x,y,z'
loop_
_atom_site_label
_atom_site_fract_x
_atom_site_fract_y
_atom_site_fract_z
Hf1 0.0000 0.8566 0.9262
As1 0.0000 0.1699 0.9233
Pb1 0.5000 0.4116 0.9771
O1 0.5000 0.2094 0.4275
Pb2 0.5000 0.5884 0.4771
As2 0.0000 0.8301 0.4232
Hf2 0.0000 0.1434 0.4262
O2 0.5000 0.7906 0.9275
```

=====

Run three
HfAsPbO | GGA-PBE | relaxed

Results
Its crystal system is orthorhombic. The calculation puts the total moment at 0.001 μB per formula unit. Its volume is 213 Å³ per cell.

```
data_HfAsPbO
_cell_length_a 3.9575
_cell_length_b 8.6183
_cell_length_c 6.2412
_cell_angle_alpha 90.00
_cell_angle_beta 90.00
_cell_angle_gamma 90.00
_symmetry_space_group_name_H-M 'P 1'
_symmetry_Int_Tables_number 1
loop_
_symmetry_equiv_pos_as_xyz
'x,y,z'
loop_
_atom_site_label
_atom_site_fract_x
_atom_site_fract_y
_atom_site_fract_z
Pb1 0.0000 0.3393 0.9771
O1 0.5000 0.9880 0.2801
O2 0.5000 0.0120 0.7801
As1 0.0000 0.6732 0.9797
As2 0.0000 0.3268 0.4797
Hf1 0.5000 0.1335 0.5171
Pb2 0.0000 0.6607 0.4771
Hf2 0.5000 0.8665 0.0171
```

=====

Stability check: which of them is least stable? run one.

=====

Run one
PmHfAsO | GGA-PBE | relaxed

Results
Its crystal system is tetragonal. The calculation puts the total moment at 0.033 μB per formula unit. Its volume is 145 Å³ per cell.

```
data_PmHfAsO
_cell_length_a 4.1148
_cell_length_b 4.1148
_cell_length_c 8.5872
_cell_angle_alpha 90.00
_cell_angle_beta 90.00
_cell_angle_gamma 90.00
_symmetry_space_group_name_H-M 'P 1'
_symmetry_Int_Tables_number 1
loop_
_symmetry_equiv_pos_as_xyz
'x,y,z'
loop_
_atom_site_label
_atom_site_fract_x
_atom_site_fract_y
_atom_site_fract_z
As1 0.5000 0.0000 0.7500
Pm1 0.5000 0.5000 0.5000
As2 0.0000 0.5000 0.2500
O1 0.5000 0.5000 0.0000
Pm2 0.0000 0.0000 0.5000
Hf1 0.0000 0.5000 0.9005
Hf2 0.5000 0.0000 0.0995
O2 0.0000 0.0000 0.0000
```

=====

Run two
PmHfAsO | GGA-PBE | relaxed

Results
Its crystal system is orthorhombic. The calculation puts the total moment at 0.005 μB per formula unit. Its volume is 180 Å³ per cell.

```
data_PmHfAsO
_cell_length_a 4.0893
_cell_length_b 7.4071
_cell_length_c 5.9578
_cell_angle_alpha 90.00
_cell_angle_beta 90.00
_cell_angle_gamma 90.00
_symmetry_space_group_name_H-M 'P 1'
_symmetry_Int_Tables_number 1
loop_
_symmetry_equiv_pos_as_xyz
'x,y,z'
loop_
_atom_site_label
_atom_site_fract_x
_atom_site_fract_y
_atom_site_fract_z
Pm1 0.0000 0.7200 0.4510
Hf1 0.5000 0.8941 0.0058
Hf2 0.5000 0.1059 0.5058
Pm2 0.0000 0.2800 0.9510
As1 0.0000 0.6727 0.9479
O1 0.5000 0.8564 0.3493
O2 0.5000 0.1436 0.8493
As2 0.0000 0.3273 0.4479
```

=====

Stability check: which of them is least stable? run one.